(1)
6
Lattice="0.000 4.956 4.956 4.956 0.000 4.956 4.956 4.956 0.000" Properties=species:S:1:pos:R:3 comment="K4CdSi PBE relaxed" raw_formation_energy_ev_per_fu=3.162 e_tot_ev_per_cell=-7.57 spacegroup="F-43m, No. 216" dos_ef_per_ev_cell=3.91 pbc="T T T"
K 6.185 6.185 3.726
K 3.726 6.185 6.185
K 6.185 3.726 6.185
Cd 0.000 0.000 0.000
Si 7.433 7.433 7.433
K 3.726 3.726 3.726

---

(2)
4
Lattice="6.459 -0.040 0.102 2.657 5.887 -0.102 -3.308 -4.872 2.654" Properties=species:S:1:pos:R:3 comment="KCdSi2 PBE relaxed" raw_formation_energy_ev_per_fu=2.189 e_tot_ev_per_cell=-10.67 spacegroup="Immm, No. 71" dos_ef_per_ev_cell=0.80 pbc="T T T"
K 1.954 1.969 1.276
Cd 3.854 -0.994 1.378
Si 4.855 3.114 0.000
Si 8.819 5.657 0.000

---

(3)
4
Lattice="11.908 0.090 0.053 11.343 3.627 0.053 11.343 1.813 3.141" Properties=species:S:1:pos:R:3 comment="K2CdSi PBE relaxed" raw_formation_energy_ev_per_fu=1.738 e_tot_ev_per_cell=-6.80 spacegroup="R-3m, No. 166" dos_ef_per_ev_cell=3.16 pbc="T T T"
Si 8.649 1.382 0.812
K 34.334 5.488 3.223
Cd 25.946 4.147 2.435
K 17.558 2.806 1.648

---

(4)
4
Lattice="-0.032 5.101 1.546 -1.564 -0.302 5.086 3.965 -2.670 -2.358" Properties=species:S:1:pos:R:3 comment="KCdSi2 PBE relaxed" raw_formation_energy_ev_per_fu=2.311 e_tot_ev_per_cell=-10.55 spacegroup="I-4m2, No. 119" dos_ef_per_ev_cell=1.24 pbc="T T T"
Si 0.000 0.000 0.000
Si 0.801 -0.286 3.022
K 1.567 2.415 1.252
Cd -0.798 2.399 3.316